Material: Re2TcSe
Method: DFT, PBE-GGA
State: relaxed

Cell lengths 2.9210, 3.9357, 5.3935 Å; angles 90.00, 90.00, 90.00 degrees
Atoms (fractional coordinates):
Re: 0.0000 0.0000 0.0000
Re: 0.5000 0.5000 0.1840
Tc: 0.5000 0.5000 0.6800
Se: 0.0000 0.0000 0.5054

Computed properties:
Formation energy from raw total energies   434 meV per atom

Material: PrNd5S6
Method: DFT, PBE-GGA
State: relaxed

Cell lengths 7.0703, 7.0703, 7.0521 Å; angles 99.67, 99.67, 120.14 degrees
Atoms (fractional coordinates):
Pr: 0.0000 0.0000 0.0000
Nd: 0.1658 0.8342 0.5000
Nd: 0.3334 0.6666 0.0000
Nd: 0.5000 0.5000 0.5000
Nd: 0.6666 0.3334 0.0000
Nd: 0.8342 0.1658 0.5000
S: 0.0838 0.4190 0.2513
S: 0.2517 0.2517 0.7495
S: 0.4190 0.0838 0.2513
S: 0.5810 0.9162 0.7487
S: 0.7483 0.7483 0.2505
S: 0.9162 0.5810 0.7487

Computed properties:
Formation energy from raw total energies   -2028 meV per atom

Material: Cs2InI6O18
Method: DFT, PBE-GGA
State: relaxed

Cell lengths 8.0444, 8.0488, 8.0569 Å; angles 97.42, 97.49, 97.45 degrees
Atoms (fractional coordinates):
Cs: 0.1635 0.1633 0.1633
Cs: 0.8365 0.8367 0.8367
In: 0.5000 0.5000 0.5000
I: 0.1313 0.6977 0.3317
I: 0.3024 0.6676 0.8688
I: 0.3318 0.1310 0.6970
I: 0.6682 0.8690 0.3030
I: 0.6976 0.3324 0.1312
I: 0.8687 0.3023 0.6683
O: 0.0999 0.6961 0.1034
O: 0.1028 0.0993 0.6944
O: 0.1090 0.5953 0.7160
O: 0.2801 0.5396 0.3311
O: 0.2850 0.8906 0.4034
O: 0.3037 0.8962 0.8994
O: 0.3312 0.2798 0.5392
O: 0.4031 0.2841 0.8900
O: 0.4601 0.6684 0.7199
O: 0.5399 0.3316 0.2801
O: 0.5969 0.7159 0.1100
O: 0.6688 0.7202 0.4608
O: 0.6963 0.1038 0.1006
O: 0.7150 0.1094 0.5966
O: 0.7199 0.4604 0.6689
O: 0.8910 0.4047 0.2840
O: 0.8972 0.9006 0.3056
O: 0.9001 0.3039 0.8966

Computed properties:
Formation energy from raw total energies   -630 meV per atom

Material: LiPm2Tm
Method: DFT, PBE-GGA
State: relaxed

Cell lengths 3.5158, 3.5158, 11.8080 Å; angles 90.00, 90.00, 120.00 degrees
Atoms (fractional coordinates):
Li: 0.0000 0.0000 0.0000
Pm: 0.0000 0.0000 0.7246
Pm: 0.6667 0.3333 0.2409
Tm: 0.3333 0.6667 0.4846

Computed properties:
Energy above the lowest structure with this stoichiometry   49.8 meV per atom
Formation enthalpy at 0 K   0.5 eV per formula unit

Material: NdCdSn
Method: DFT, PBE-GGA
State: relaxed

Cell lengths 6.6676, 6.6676, 6.6676 Å; angles 148.21, 148.21, 45.57 degrees
Atoms (fractional coordinates):
Nd: 0.0000 0.0000 0.0000
Cd: 0.6732 0.6732 0.0000
Sn: 0.3195 0.3195 0.0000

Computed properties:
Formation enthalpy at 0 K   -1.0 eV per formula unit

Material: LiPa3Se2O6
Method: DFT, PBE-GGA
State: relaxed

Cell lengths 7.0639, 7.0639, 6.0641 Å; angles 105.08, 105.08, 64.66 degrees
Atoms (fractional coordinates):
Li: 0.0000 0.0000 0.0000
Pa: 0.0000 0.5000 0.0000
Pa: 0.5000 0.0000 0.0000
Pa: 0.5000 0.5000 0.5000
Se: 0.3051 0.3051 0.6863
Se: 0.6949 0.6949 0.3137
O: 0.1717 0.1717 0.0622
O: 0.2157 0.6056 0.2543
O: 0.3944 0.7843 0.7457
O: 0.6056 0.2157 0.2543
O: 0.7843 0.3944 0.7457
O: 0.8283 0.8283 0.9378

Computed properties:
Formation energy from raw total energies   -2846 meV per atom

Material: VGeSN2
Method: DFT, PBE-GGA
State: relaxed

Cell lengths 3.7246, 3.7246, 4.9384 Å; angles 90.00, 90.00, 90.00 degrees
Atoms (fractional coordinates):
V: 0.0000 0.0000 0.0000
Ge: 0.5000 0.5000 0.5000
S: 0.5000 0.5000 0.0000
N: 0.0000 0.5000 0.5000
N: 0.5000 0.0000 0.5000

Computed properties:
Energy above the lowest structure with this stoichiometry   684.5 meV per atom
Formation energy from raw total energies   941 meV per atom

Material: Sr4Se3I
Method: DFT, PBE-GGA
State: relaxed

Cell lengths 15.1013, 15.1013, 15.1013 Å; angles 17.11, 17.11, 17.11 degrees
Atoms (fractional coordinates):
Sr: 0.1172 0.1172 0.1172
Sr: 0.3728 0.3728 0.3728
Sr: 0.6272 0.6272 0.6272
Sr: 0.8828 0.8828 0.8828
Se: 0.0000 0.0000 0.0000
Se: 0.2524 0.2524 0.2524
Se: 0.7476 0.7476 0.7476
I: 0.5000 0.5000 0.5000

Computed properties:
Formation energy from raw total energies   -1825 meV per atom